Record 1
{
  "formula": "AlSI",
  "functional": "PBE",
  "state": "relaxed",
  "energy_ry_per_atom": -0.2876,
  "lattice_angstrom": [[-2.660, -0.136, 2.567], [0.283, -2.698, -2.515], [4.379, -3.593, 4.346]],
  "species": ["I", "S", "Al"],
  "fractional_positions": [[0.333, 0.667, 0.601], [0.667, 0.333, 0.022], [0.000, 0.000, 0.874]]
}

---

Record 2
{
  "formula": "Sm6Dy8Sn",
  "functional": "PBE",
  "state": "relaxed",
  "energy_ry_per_atom": -0.3360,
  "delta_e_f_mev_per_atom": 38,
  "lattice_angstrom": [[-1.700, -2.019, 5.893], [-9.014, 0.360, -2.478], [4.894, -7.869, -1.284]],
  "species": ["Sm", "Sm", "Sm", "Sm", "Sm", "Sm", "Dy", "Dy", "Dy", "Dy", "Dy", "Dy", "Dy", "Dy", "Sn"],
  "fractional_positions": [[0.678, 0.642, 0.091], [0.678, 0.909, 0.551], [0.678, 0.449, 0.358], [0.322, 0.358, 0.909], [0.322, 0.091, 0.449], [0.322, 0.551, 0.642], [0.815, 0.038, 0.263], [0.815, 0.737, 0.775], [0.815, 0.225, 0.962], [0.185, 0.962, 0.737], [0.185, 0.263, 0.225], [0.185, 0.775, 0.038], [0.843, 0.333, 0.667], [0.157, 0.667, 0.333], [0.500, 0.000, 0.000]]
}

---

Record 3
{
  "formula": "AcScNi4",
  "functional": "PBE",
  "state": "relaxed",
  "energy_ry_per_atom": -0.4318,
  "delta_e_f_mev_per_atom": -281,
  "lattice_angstrom": [[-5.060, -0.010, 0.803], [-1.920, -2.180, 4.220], [-2.012, 2.915, 3.701]],
  "species": ["Sc", "Ni", "Ni", "Ni", "Ni", "Ac"],
  "fractional_positions": [[0.000, 0.000, 0.000], [0.626, 0.626, 0.121], [0.626, 0.121, 0.626], [0.626, 0.626, 0.626], [0.121, 0.626, 0.626], [0.250, 0.250, 0.250]]
}

---

Record 4
{
  "formula": "ThCo4Ge",
  "functional": "PBE",
  "state": "relaxed",
  "energy_ry_per_atom": -0.5064,
  "delta_e_f_mev_per_atom": -146,
  "lattice_angstrom": [[-3.164, -1.758, 1.244], [-1.924, -0.628, -5.779], [5.056, -5.689, -1.065]],
  "species": ["Th", "Th", "Co", "Co", "Co", "Co", "Co", "Co", "Co", "Co", "Ge", "Ge"],
  "fractional_positions": [[0.102, 0.250, 0.204], [0.898, 0.750, 0.796], [0.500, 0.500, 0.000], [0.500, 0.000, 0.000], [0.673, 0.944, 0.346], [0.327, 0.056, 0.654], [0.327, 0.444, 0.654], [0.673, 0.556, 0.346], [0.078, 0.750, 0.156], [0.922, 0.250, 0.844], [0.232, 0.750, 0.464], [0.768, 0.250, 0.536]]
}